A plane-wave DFT calculation with PBE-GGA was carried out for a relaxed RbTlHg2F8 crystal.

Properties
For the density of states at the Fermi level, the calculation gives 0.0000 states/eV/atom. As for the calculated volume: 17.651 A^3/atom. Its formation energy (no corrections) is -1.784 eV per atom.

Cell: 4.433 5.765 8.336 Å, 84.02 90.30 90.88°
Sites, in units of the cell vectors:
Rb  0.000  0.000  0.500
Tl  0.000  0.000  0.000
Hg  0.496  0.484  0.767
Hg  0.504  0.516  0.233
F  0.010  0.750  0.224
F  0.509  0.769  0.027
F  0.994  0.248  0.173
F  0.990  0.250  0.776
F  0.491  0.231  0.973
F  0.006  0.752  0.827
F  0.496  0.719  0.563
F  0.504  0.281  0.437

A plane-wave DFT calculation with PBE-GGA was carried out for a relaxed AcTmC2O8 crystal.

Properties
For the density of states at the Fermi level, the calculation gives 0.5905 states/eV/atom. As for the calculated volume: 10.890 A^3/atom. Its formation energy (no corrections) is -2.011 eV per atom.

Cell: 5.067 5.040 6.598 Å, 67.54 67.42 59.83°
Each line ends with the local moment (μB).
Sites, in units of the cell vectors:
Ac  0.500  0.500  0.500  -0.01
Tm  0.000  0.000  0.000  0.00
C  0.267  0.266  0.200  -0.02
C  0.733  0.734  0.800  -0.02
O  0.910  0.458  0.722  0.19
O  0.658  0.650  0.034  0.36
O  0.090  0.542  0.278  0.19
O  0.342  0.350  0.966  0.36
O  0.542  0.089  0.275  0.17
O  0.458  0.911  0.725  0.17
O  0.093  0.089  0.275  0.17
O  0.907  0.911  0.725  0.17

A plane-wave DFT calculation with PBE-GGA was carried out for a relaxed Ac8Rh3AuBr4 crystal.

Properties
For the density of states at the Fermi level, the calculation gives 0.5608 states/eV/atom. As for the calculated volume: 34.742 A^3/atom. Its formation energy (no corrections) is -1.135 eV per atom.

Cell: 8.813 9.708 8.813 Å, 117.02 120.00 90.00°
Sites, in units of the cell vectors:
Ac  0.238  0.696  0.958
Ac  0.238  0.696  0.476
Ac  0.268  0.304  0.536
Ac  0.720  0.696  0.958
Ac  0.280  0.304  0.042
Ac  0.732  0.696  0.464
Ac  0.762  0.304  0.524
Ac  0.762  0.304  0.042
Rh  0.500  0.500  0.000
Rh  0.500  0.500  0.500
Rh  0.000  0.500  0.500
Au  0.000  0.500  0.000
Br  0.500  0.000  0.000
Br  0.500  0.000  0.500
Br  0.000  0.000  0.000
Br  0.000  0.000  0.500